{"formula": "AcNd2Ag", "functional": "PBE", "state": "optimized geometry", "polymorph_energy_ev_per_fu": 0.451, "delta_e_f_ev_per_atom": 0.011, "vol_a3_per_atom": 34.02, "space_group": "R-3m (166)", "cell": [[-2.586, -1.549, -2.328], [1.070, -2.582, -2.587], [-2.234, -9.296, 5.551]], "species": ["Ac", "Nd", "Nd", "Ag"], "frac_coords": [[0.500, 0.500, 0.500], [0.262, 0.262, 0.213], [0.738, 0.738, 0.787], [0.000, 0.000, 0.000]]}